Record 1
5
Lattice="4.916 0.000 0.000 0.000 6.662 0.000 0.000 0.000 4.916" Properties=species:S:1:pos:R:3 comment="NaSrZn2C PBE optimized geometry" final_energy_ev_per_atom=-1.386 m_tot_mub_per_cell=1.76 formation_energy_mev_per_atom=1569 dos_at_fermi_per_ev_fu=2.96 pbc="T T T"
Sr 0.000 3.331 0.000
Zn 0.000 0.000 2.458
Zn 2.458 0.000 0.000
C 2.458 3.331 2.458
Na 0.000 0.000 0.000



Record 2
5
Lattice="5.342 0.000 0.000 0.000 5.342 0.000 0.000 0.000 3.979" Properties=species:S:1:pos:R:3 comment="FeSnSe2N PBE optimized geometry" e_above_lowest_polymorph_mev_per_atom=964 final_energy_ev_per_atom=-4.465 e_form_raw_ev_per_atom=1.087 m_tot_mub_per_cell=5.17 dos_at_fermi_per_ev_fu=5.89 pbc="T T T"
N 0.000 0.000 1.990
Sn 0.000 0.000 0.000
Se 0.000 2.671 0.000
Se 2.671 0.000 0.000
Fe 2.671 2.671 1.990



Record 3
16
Lattice="8.070 0.000 0.000 0.000 8.660 0.396 -4.035 -4.041 5.749" Properties=species:S:1:pos:R:3 comment="K4Pu3MnS8 PBE optimized geometry" final_energy_ev_per_atom=-6.958 e_form_raw_ev_per_atom=-1.359 m_tot_mub_per_cell=0.18 dos_at_fermi_per_ev_fu=31.02 pbc="T T T"
K 4.035 0.000 0.000
K 2.018 -2.021 2.875
K 0.000 0.000 0.000
K -2.018 -2.021 2.875
Pu 4.035 4.330 0.198
Pu 2.018 2.309 3.072
Pu -2.018 2.309 3.072
Mn 0.000 4.330 0.198
S -2.067 2.110 5.842
S 0.000 4.161 2.941
S 0.000 0.434 3.166
S 2.067 2.110 5.842
S 1.968 2.509 0.302
S 4.035 4.185 2.979
S 4.035 0.458 3.204
S 6.102 2.509 0.302



Record 4
11
Lattice="5.239 0.000 -0.931 -0.165 5.236 -0.931 0.093 0.096 15.730" Properties=species:S:1:pos:R:3 comment="K3Na6Au2 PBE optimized geometry" final_energy_ev_per_atom=-1.715 m_tot_mub_per_cell=0.00 formation_energy_mev_per_atom=-100 dos_at_fermi_per_ev_fu=4.34 pbc="T T T"
K 0.000 0.000 0.000
K 4.089 4.220 7.803
K 1.078 1.112 6.065
Na 3.086 0.482 2.162
Na 0.384 3.100 2.162
Na 2.080 4.851 11.706
Na 4.783 2.233 11.706
Na 3.360 3.468 3.703
Na 1.806 1.864 10.165
Au 2.391 2.468 13.456
Au 2.775 2.865 0.412